Entry 1:
# CsKSe2, optimized geometry, DFT PBE
# ΔE_f (raw) (eV/atom): -0.71
# Energy above the most stable polymorph in this dataset (eV per formula unit): 0.72
data_CsKSe2
_cell_length_a 11.450
_cell_length_b 11.450
_cell_length_c 11.450
_cell_angle_alpha 151.71
_cell_angle_beta 151.71
_cell_angle_gamma 40.44
_space_group_name_H-M_alt 'P 1'
_space_group_IT_number 1
loop_
_space_group_symop_operation_xyz
'x,y,z'
loop_
_atom_site_label
_atom_site_type_symbol
_atom_site_fract_x
_atom_site_fract_y
_atom_site_fract_z
Cs1 Cs 0.000 0.000 0.000
Cs2 Cs 0.750 0.250 0.500
K1 K 0.250 0.750 0.500
K2 K 0.500 0.500 0.000
Se1 Se 0.312 0.625 0.187
Se2 Se 0.375 0.562 0.687
Se3 Se 0.438 0.125 0.813
Se4 Se 0.875 0.688 0.313

=====

Entry 2:
# Cs14KSe, optimized geometry, DFT PBE
# ΔE_f (raw) (eV/atom): -0.16
data_Cs14KSe
_cell_length_a 14.433
_cell_length_b 10.725
_cell_length_c 10.725
_cell_angle_alpha 76.35
_cell_angle_beta 90.00
_cell_angle_gamma 90.00
_space_group_name_H-M_alt 'P 1'
_space_group_IT_number 1
loop_
_space_group_symop_operation_xyz
'x,y,z'
loop_
_atom_site_label
_atom_site_type_symbol
_atom_site_fract_x
_atom_site_fract_y
_atom_site_fract_z
Cs1 Cs 0.000 0.000 0.000
Cs2 Cs 0.000 0.473 0.473
Cs3 Cs 0.000 0.522 0.948
Cs4 Cs 0.000 0.948 0.522
Cs5 Cs 0.241 0.234 0.234
Cs6 Cs 0.298 0.797 0.797
Cs7 Cs 0.333 0.368 0.706
Cs8 Cs 0.333 0.706 0.368
Cs9 Cs 0.500 0.011 0.518
Cs10 Cs 0.500 0.518 0.011
Cs11 Cs 0.667 0.368 0.706
Cs12 Cs 0.667 0.706 0.368
Cs13 Cs 0.702 0.797 0.797
Cs14 Cs 0.759 0.234 0.234
K1 K 0.500 0.032 0.032
Se1 Se 0.500 0.658 0.658

=====

Entry 3:
# CsK2Se2, optimized geometry, DFT PBE
# ΔE_f (raw) (eV/atom): -0.99
# Energy above the most stable polymorph in this dataset (eV per formula unit): 0.00
data_CsK2Se2
_cell_length_a 5.519
_cell_length_b 5.303
_cell_length_c 13.517
_cell_angle_alpha 90.00
_cell_angle_beta 98.21
_cell_angle_gamma 90.00
_space_group_name_H-M_alt 'P 1'
_space_group_IT_number 1
loop_
_space_group_symop_operation_xyz
'x,y,z'
loop_
_atom_site_label
_atom_site_type_symbol
_atom_site_fract_x
_atom_site_fract_y
_atom_site_fract_z
Cs1 Cs 0.169 0.250 0.261
Cs2 Cs 0.831 0.750 0.739
K1 K 0.249 0.750 0.498
K2 K 0.375 0.250 0.881
K3 K 0.625 0.750 0.119
K4 K 0.751 0.250 0.502
Se1 Se 0.071 0.750 0.999
Se2 Se 0.300 0.250 0.642
Se3 Se 0.700 0.750 0.358
Se4 Se 0.929 0.250 0.001

=====

Entry 4:
# Cs3KSe2, optimized geometry, DFT PBE
# ΔE_f (raw) (eV/atom): -1.06
data_Cs3KSe2
_cell_length_a 10.376
_cell_length_b 10.376
_cell_length_c 10.376
_cell_angle_alpha 133.60
_cell_angle_beta 65.35
_cell_angle_gamma 136.67
_space_group_name_H-M_alt 'P 1'
_space_group_IT_number 1
loop_
_space_group_symop_operation_xyz
'x,y,z'
loop_
_atom_site_label
_atom_site_type_symbol
_atom_site_fract_x
_atom_site_fract_y
_atom_site_fract_z
Cs1 Cs 0.185 0.703 0.889
Cs2 Cs 0.250 0.250 0.000
Cs3 Cs 0.315 0.203 0.518
Cs4 Cs 0.685 0.797 0.482
Cs5 Cs 0.750 0.750 0.000
Cs6 Cs 0.815 0.297 0.111
K1 K 0.250 0.750 0.500
K2 K 0.750 0.250 0.500
Se1 Se 0.115 0.276 0.392
Se2 Se 0.385 0.776 0.161
Se3 Se 0.615 0.224 0.839
Se4 Se 0.885 0.724 0.608

=====

Entry 5:
# CsKSe2, optimized geometry, DFT PBE
# ΔE_f (raw) (eV/atom): -0.89
# Energy above the most stable polymorph in this dataset (eV per formula unit): 0.00
data_CsKSe2
_cell_length_a 5.634
_cell_length_b 5.634
_cell_length_c 6.969
_cell_angle_alpha 121.63
_cell_angle_beta 121.63
_cell_angle_gamma 65.50
_space_group_name_H-M_alt 'P 1'
_space_group_IT_number 1
loop_
_space_group_symop_operation_xyz
'x,y,z'
loop_
_atom_site_label
_atom_site_type_symbol
_atom_site_fract_x
_atom_site_fract_y
_atom_site_fract_z
Cs1 Cs 0.000 0.000 0.000
K1 K 0.500 0.500 0.500
Se1 Se 0.164 0.164 0.651
Se2 Se 0.836 0.836 0.349

=====

Entry 6:
# Cs4K2Se, optimized geometry, DFT PBE
# ΔE_f (raw) (eV/atom): -0.39
data_Cs4K2Se
_cell_length_a 13.508
_cell_length_b 13.508
_cell_length_c 13.508
_cell_angle_alpha 149.73
_cell_angle_beta 149.73
_cell_angle_gamma 43.34
_space_group_name_H-M_alt 'P 1'
_space_group_IT_number 1
loop_
_space_group_symop_operation_xyz
'x,y,z'
loop_
_atom_site_label
_atom_site_type_symbol
_atom_site_fract_x
_atom_site_fract_y
_atom_site_fract_z
Cs1 Cs 0.000 0.500 0.500
Cs2 Cs 0.137 0.137 0.000
Cs3 Cs 0.500 0.000 0.500
Cs4 Cs 0.863 0.863 0.000
K1 K 0.324 0.324 0.000
K2 K 0.676 0.676 0.000
Se1 Se 0.000 0.000 0.000

=====

Entry 7:
# CsK3Se, optimized geometry, DFT PBE
# ΔE_f (raw) (eV/atom): -0.54
# Energy above the most stable polymorph in this dataset (eV per formula unit): 0.00
data_CsK3Se
_cell_length_a 6.639
_cell_length_b 6.639
_cell_length_c 6.639
_cell_angle_alpha 90.00
_cell_angle_beta 90.00
_cell_angle_gamma 90.00
_space_group_name_H-M_alt 'P 1'
_space_group_IT_number 1
loop_
_space_group_symop_operation_xyz
'x,y,z'
loop_
_atom_site_label
_atom_site_type_symbol
_atom_site_fract_x
_atom_site_fract_y
_atom_site_fract_z
Cs1 Cs 0.000 0.000 0.000
K1 K 0.000 0.500 0.500
K2 K 0.500 0.000 0.500
K3 K 0.500 0.500 0.000
Se1 Se 0.500 0.500 0.500

=====

Entry 8:
# Cs4K2Se, optimized geometry, DFT PBE
# ΔE_f (raw) (eV/atom): -0.40
data_Cs4K2Se
_cell_length_a 9.961
_cell_length_b 9.961
_cell_length_c 9.479
_cell_angle_alpha 115.56
_cell_angle_beta 115.56
_cell_angle_gamma 37.83
_space_group_name_H-M_alt 'P 1'
_space_group_IT_number 1
loop_
_space_group_symop_operation_xyz
'x,y,z'
loop_
_atom_site_label
_atom_site_type_symbol
_atom_site_fract_x
_atom_site_fract_y
_atom_site_fract_z
Cs1 Cs 0.034 0.034 0.234
Cs2 Cs 0.368 0.368 0.202
Cs3 Cs 0.632 0.632 0.798
Cs4 Cs 0.966 0.966 0.766
K1 K 0.311 0.311 0.706
K2 K 0.689 0.689 0.294
Se1 Se 0.500 0.500 0.000